No. 1
A plane-wave DFT calculation with PBE was carried out for crystalline CuHgSeI2 at its relaxed geometry.

Properties
* crystal system: tetragonal
* formation energy from raw total energies: 0.70 eV/atom
* space group: P4/mmm, No. 123

a b c (Å): 6.017 6.017 5.190
angles (deg): 90.00 90.00 90.00
Sites, in units of the cell vectors:
Cu  0.000  0.000  0.000
Hg  0.500  0.500  0.500
Se  0.500  0.500  0.000
I  0.000  0.500  0.500
I  0.500  0.000  0.500

=====

No. 2
A plane-wave DFT calculation with PBE was carried out for crystalline CuHgTeI at its relaxed geometry.

Properties
* crystal system: monoclinic
* formation energy from raw total energies: -0.11 eV/atom
* space group: Cm, No. 8

a b c (Å): 7.658 4.415 8.101
angles (deg): 90.00 108.32 90.00
Sites, in units of the cell vectors:
Cu  0.000  0.000  0.000
Cu  0.500  0.500  0.000
Hg  0.032  0.500  0.591
Hg  0.532  0.000  0.591
Te  0.149  0.500  0.947
Te  0.649  0.000  0.947
I  0.124  0.000  0.366
I  0.624  0.500  0.366

=====

No. 3
A plane-wave DFT calculation with PBE was carried out for crystalline CuHg2TeI2 at its relaxed geometry.

Properties
* crystal system: orthorhombic
* formation energy from raw total energies: -0.07 eV/atom
* space group: Cmc2_1, No. 36

a b c (Å): 8.665 8.665 7.476
angles (deg): 90.00 90.00 52.53
Sites, in units of the cell vectors:
Cu  0.131  0.869  0.500
Cu  0.869  0.131  0.000
Hg  0.122  0.539  0.115
Hg  0.461  0.878  0.115
Hg  0.539  0.122  0.615
Hg  0.878  0.461  0.615
Te  0.164  0.836  0.161
Te  0.836  0.164  0.661
I  0.144  0.571  0.637
I  0.429  0.856  0.637
I  0.571  0.144  0.137
I  0.856  0.429  0.137

=====

No. 4
A plane-wave DFT calculation with PBE was carried out for crystalline TlCu2HgI6 at its relaxed geometry.

Properties
* crystal system: monoclinic
* formation energy from raw total energies: -0.24 eV/atom
* space group: C2/c, No. 15

a b c (Å): 10.858 10.858 8.039
angles (deg): 105.40 105.40 91.05
Sites, in units of the cell vectors:
Tl  0.111  0.889  0.750
Tl  0.889  0.111  0.250
Cu  0.244  0.373  0.805
Cu  0.373  0.244  0.305
Cu  0.627  0.756  0.695
Cu  0.756  0.627  0.195
Hg  0.225  0.775  0.250
Hg  0.775  0.225  0.750
I  0.053  0.200  0.704
I  0.150  0.606  0.911
I  0.200  0.053  0.204
I  0.331  0.422  0.561
I  0.394  0.850  0.589
I  0.422  0.331  0.061
I  0.578  0.669  0.939
I  0.606  0.150  0.411
I  0.669  0.578  0.439
I  0.800  0.947  0.796
I  0.850  0.394  0.089
I  0.947  0.800  0.296

=====

No. 5
A plane-wave DFT calculation with PBE was carried out for crystalline Tl2Cu3HgI8 at its relaxed geometry.

Properties
* crystal system: trigonal
* formation energy from raw total energies: -0.21 eV/atom
* space group: R3m, No. 160

a b c (Å): 10.058 10.058 10.058
angles (deg): 50.64 50.64 50.64
Sites, in units of the cell vectors:
Tl  0.000  0.000  0.000
Tl  0.363  0.363  0.363
Cu  0.020  0.020  0.452
Cu  0.020  0.452  0.020
Cu  0.452  0.020  0.020
Hg  0.577  0.577  0.577
I  0.168  0.726  0.726
I  0.227  0.227  0.227
I  0.249  0.249  0.798
I  0.249  0.798  0.249
I  0.682  0.682  0.682
I  0.726  0.168  0.726
I  0.726  0.726  0.168
I  0.798  0.249  0.249

=====

No. 6
A plane-wave DFT calculation with PBE was carried out for crystalline TlCuHgI4 at its relaxed geometry.

Properties
* crystal system: monoclinic
* formation energy from raw total energies: -0.31 eV/atom
* space group: P2_1/m, No. 11

a b c (Å): 8.429 8.688 8.820
angles (deg): 90.00 108.48 90.00
Sites, in units of the cell vectors:
Tl  0.215  0.250  0.007
Tl  0.785  0.750  0.993
Cu  0.259  0.750  0.357
Cu  0.741  0.250  0.643
Hg  0.289  0.250  0.445
Hg  0.711  0.750  0.555
I  0.081  0.503  0.276
I  0.081  0.997  0.276
I  0.421  0.750  0.671
I  0.481  0.250  0.768
I  0.519  0.750  0.232
I  0.579  0.250  0.329
I  0.919  0.003  0.724
I  0.919  0.497  0.724

=====

No. 7
A plane-wave DFT calculation with PBE was carried out for crystalline Tl2CuHgI at its relaxed geometry.

Properties
* crystal system: tetragonal
* formation energy from raw total energies: -0.11 eV/atom
* space group: P4/mmm, No. 123

a b c (Å): 5.540 5.540 5.135
angles (deg): 90.00 90.00 90.00
Sites, in units of the cell vectors:
Tl  0.000  0.500  0.000
Tl  0.500  0.000  0.000
Cu  0.000  0.000  0.000
Hg  0.000  0.000  0.500
I  0.500  0.500  0.500

=====

No. 8
A plane-wave DFT calculation with PBE was carried out for crystalline UCuHgI6 at its relaxed geometry.

Properties
* crystal system: monoclinic
* formation energy from raw total energies: -0.53 eV/atom
* space group: C2, No. 5

a b c (Å): 8.545 8.545 8.886
angles (deg): 91.97 91.97 131.95
Sites, in units of the cell vectors:
U  0.000  0.000  0.000
Cu  0.565  0.435  0.000
Hg  0.289  0.711  0.500
I  0.039  0.302  0.825
I  0.329  0.335  0.230
I  0.347  0.067  0.847
I  0.665  0.671  0.770
I  0.698  0.961  0.175
I  0.933  0.653  0.153

=====

No. 9
A plane-wave DFT calculation with PBE was carried out for crystalline YCuHg2I at its relaxed geometry.

Properties
* crystal system: tetragonal
* formation energy from raw total energies: 0.66 eV/atom
* space group: P4/mmm, No. 123

a b c (Å): 6.356 6.356 4.618
angles (deg): 90.00 90.00 90.00
Sites, in units of the cell vectors:
Y  0.000  0.000  0.000
Cu  0.500  0.500  0.000
Hg  0.000  0.500  0.500
Hg  0.500  0.000  0.500
I  0.500  0.500  0.500

=====

No. 10
A plane-wave DFT calculation with PBE was carried out for crystalline ZrCuHgI6 at its relaxed geometry.

Properties
* crystal system: triclinic
* formation energy from raw total energies: -0.54 eV/atom
* space group: P1, No. 1

a b c (Å): 7.608 8.044 8.131
angles (deg): 78.16 72.31 62.71
Sites, in units of the cell vectors:
Zr  0.000  0.000  0.000
Cu  0.563  0.052  0.083
Hg  0.635  0.744  0.515
I  0.089  0.270  0.770
I  0.240  0.009  0.229
I  0.362  0.681  0.843
I  0.653  0.218  0.254
I  0.778  0.965  0.785
I  0.994  0.657  0.215

=====

No. 11
A plane-wave DFT calculation with PBE was carried out for crystalline InCu3Hg at its relaxed geometry.

Properties
* crystal system: cubic
* excess energy over the best structure of this formula in the dataset: 60.1 meV/atom
* formation enthalpy at 0 K: 789 meV/atom
* space group: Pm-3m, No. 221

a b c (Å): 4.900 4.900 4.900
angles (deg): 90.00 90.00 90.00
Sites, in units of the cell vectors:
In  0.000  0.000  0.000
Cu  0.000  0.000  0.500
Cu  0.000  0.500  0.000
Cu  0.500  0.000  0.000
Hg  0.500  0.500  0.500

=====

No. 12
A plane-wave DFT calculation with PBE was carried out for crystalline InCuHg3 at its relaxed geometry.

Properties
* crystal system: cubic
* excess energy over the best structure of this formula in the dataset: 0.0 meV/atom
* formation enthalpy at 0 K: 154 meV/atom
* space group: Pm-3m, No. 221

a b c (Å): 5.141 5.141 5.141
angles (deg): 90.00 90.00 90.00
Sites, in units of the cell vectors:
In  0.000  0.000  0.000
Cu  0.500  0.500  0.500
Hg  0.000  0.500  0.500
Hg  0.500  0.000  0.500
Hg  0.500  0.500  0.000